VASP calculation (PBE) on a relaxed AcCuPdO5 crystal.

a = 5.8036 Å, b = 5.8036 Å, c = 7.2910 Å
α = 99.66°, β = 99.66°, γ = 115.05°
Fractional coordinates of all 16 atoms:
Ac (0.1596, 0.8404, 0.7500)
Ac (0.8404, 0.1596, 0.2500)
Cu (0.1806, 0.8194, 0.2500)
Cu (0.8194, 0.1806, 0.7500)
Pd (0.5000, 0.5000, 0.0000)
Pd (0.5000, 0.5000, 0.5000)
O (0.1076, 0.2126, 0.9476)
O (0.2126, 0.1076, 0.4476)
O (0.2269, 0.6230, 0.4185)
O (0.3770, 0.7731, 0.0815)
O (0.4199, 0.5801, 0.7500)
O (0.5801, 0.4199, 0.2500)
O (0.6230, 0.2269, 0.9185)
O (0.7731, 0.3770, 0.5815)
O (0.7874, 0.8924, 0.5524)
O (0.8924, 0.7874, 0.0524)

Computed properties:
The formation energy (no corrections) is -1.29 eV per atom. As for the calculated total energy: -0.22287 Ha/atom. For the mass density, the calculation gives 7.50 g cm⁻³.